No. 1
Material: Zr2Sb2Pb
Method: DFT, PBE
State: optimized geometry

Lattice parameters (Å, degrees): 8.320 8.320 3.693 90.00 90.00 90.00
Positions (direct):
Zr: 0.140 0.640 0.500
Zr: 0.860 0.360 0.500
Zr: 0.640 0.860 0.500
Zr: 0.360 0.140 0.500
Pb: 0.500 0.500 0.000
Pb: 0.000 0.000 0.000
Sb: 0.853 0.647 0.000
Sb: 0.147 0.353 0.000
Sb: 0.647 0.147 0.000
Sb: 0.353 0.853 0.000

Computed properties:
E above lowest polymorph, meV per atom: 141
Spin magnetization, μB per atom: 0.00
N(E_F), states/eV per cell: 7.2
Calculated volume, Å³/cell: 255.6
Electronic total energy, hartree per atom: -0.224
Formation energy without anion corrections, eV per atom: -0.299


No. 2
Material: Ga12Sn5Ge3
Method: DFT, PBE
State: optimized geometry

Lattice parameters (Å, degrees): 13.790 13.790 13.790 109.47 109.47 109.47
Positions (direct):
Ge: 0.750 0.375 0.125
Ge: 0.625 0.375 0.750
Ge: 0.250 0.125 0.375
Ge: 0.125 0.875 0.750
Ge: 0.875 0.125 0.250
Ge: 0.375 0.625 0.250
Ge: 0.750 0.875 0.625
Ge: 0.375 0.750 0.625
Ge: 0.625 0.250 0.375
Ge: 0.250 0.625 0.875
Ge: 0.125 0.250 0.875
Ge: 0.875 0.750 0.125
Sn: 0.500 0.000 0.500
Sn: 0.625 0.875 0.250
Sn: 0.250 0.875 0.125
Sn: 0.750 0.625 0.375
Sn: 0.000 0.000 0.000
Sn: 0.000 0.500 0.000
Sn: 0.000 0.000 0.500
Sn: 0.125 0.375 0.250
Sn: 0.500 0.500 0.000
Sn: 0.875 0.250 0.625
Sn: 0.250 0.375 0.625
Sn: 0.750 0.125 0.875
Sn: 0.375 0.125 0.750
Sn: 0.125 0.750 0.375
Sn: 0.625 0.750 0.875
Sn: 0.875 0.625 0.750
Sn: 0.000 0.500 0.500
Sn: 0.375 0.250 0.125
Sn: 0.500 0.500 0.500
Sn: 0.500 0.000 0.000
Ga: 0.573 0.239 0.142
Ga: 0.431 0.358 0.597
Ga: 0.334 0.573 0.431
Ga: 0.358 0.927 0.761
Ga: 0.739 0.597 0.166
Ga: 0.642 0.569 0.903
Ga: 0.569 0.642 0.403
Ga: 0.573 0.334 0.931
Ga: 0.597 0.739 0.666
Ga: 0.403 0.261 0.334
Ga: 0.834 0.931 0.073
Ga: 0.069 0.166 0.427
Ga: 0.239 0.573 0.642
Ga: 0.261 0.403 0.834
Ga: 0.073 0.642 0.739
Ga: 0.239 0.666 0.097
Ga: 0.358 0.431 0.097
Ga: 0.931 0.097 0.858
Ga: 0.761 0.334 0.903
Ga: 0.858 0.597 0.931
Ga: 0.097 0.166 0.239
Ga: 0.142 0.739 0.573
Ga: 0.858 0.261 0.427
Ga: 0.334 0.761 0.403
Ga: 0.097 0.931 0.358
Ga: 0.166 0.069 0.927
Ga: 0.761 0.427 0.358
Ga: 0.666 0.427 0.569
Ga: 0.166 0.097 0.739
Ga: 0.427 0.666 0.069
Ga: 0.142 0.403 0.069
Ga: 0.073 0.431 0.834
Ga: 0.597 0.858 0.431
Ga: 0.927 0.358 0.261
Ga: 0.834 0.903 0.261
Ga: 0.903 0.834 0.761
Ga: 0.642 0.073 0.239
Ga: 0.261 0.858 0.927
Ga: 0.739 0.142 0.073
Ga: 0.427 0.761 0.858
Ga: 0.569 0.927 0.666
Ga: 0.403 0.142 0.569
Ga: 0.666 0.239 0.597
Ga: 0.431 0.073 0.334
Ga: 0.931 0.834 0.573
Ga: 0.903 0.069 0.642
Ga: 0.927 0.569 0.166
Ga: 0.069 0.903 0.142

Computed properties:
Spin magnetization, μB per atom: 0.00
ΔE_f, eV/atom: 0.1609
N(E_F), states/eV per cell: 26.3
Calculated volume, Å³/cell: 2018.9
Electronic total energy, hartree per atom: -0.123